This record from the Alexandria database describes FeAs2O after structural relaxation. The functional is PBE+U.

Cell lengths 3.9692, 3.9692, 8.6446 Å; angles 76.73, 76.73, 90.00 degrees
Site moments in Bohr magnetons follow the coordinates.
Atoms (fractional coordinates):
As: 0.5687 0.1250 0.2500  -0.04
As: 0.1813 0.6250 0.2500  -0.05
As: 0.3750 0.4313 0.7500  -0.04
As: 0.8750 0.8187 0.7500  -0.04
Fe: 0.0000 0.0000 0.0000  3.20
Fe: 0.7500 0.2500 0.5000  3.21
O: 0.5000 0.5000 0.0000  0.00
O: 0.2500 0.7500 0.5000  -0.01

Calculated values
As for the density: 5.72 g cm⁻³. The uncorrected energy comes out at -4.69 eV/atom.